(P)
# Ca2OsRh, PBEsol geometry, DFT SCAN
# Fermi-level density of states = 5.5 states/eV per cell
# Calculated density = 8.204 g cm⁻³
# Space group = No. 225
data_Ca2OsRh
_chemical_formula_sum 'Ca2 Os1 Rh1'
_cell_length_a 4.7453
_cell_length_b 4.7453
_cell_length_c 4.7453
_cell_angle_alpha 60.00
_cell_angle_beta 60.00
_cell_angle_gamma 60.00
_symmetry_space_group_name_H-M 'P 1'
_symmetry_Int_Tables_number 1
loop_
_symmetry_equiv_pos_as_xyz
'x,y,z'
loop_
_atom_site_label
_atom_site_type_symbol
_atom_site_fract_x
_atom_site_fract_y
_atom_site_fract_z
Ca1 Ca 0.7500 0.7500 0.7500
Rh1 Rh 0.5000 0.5000 0.5000
Ca2 Ca 0.2500 0.2500 0.2500
Os1 Os 0.0000 0.0000 0.0000

(Q)
# Ca2OsRh, PBEsol geometry, DFT SCAN
# Fermi-level density of states = 2.2 states/eV per cell
# Calculated density = 8.468 g cm⁻³
# Space group = No. 166
data_Ca2OsRh
_chemical_formula_sum 'Ca2 Os1 Rh1'
_cell_length_a 3.0679
_cell_length_b 3.0679
_cell_length_c 9.1535
_cell_angle_alpha 80.35
_cell_angle_beta 80.35
_cell_angle_gamma 60.00
_symmetry_space_group_name_H-M 'P 1'
_symmetry_Int_Tables_number 1
loop_
_symmetry_equiv_pos_as_xyz
'x,y,z'
loop_
_atom_site_label
_atom_site_type_symbol
_atom_site_fract_x
_atom_site_fract_y
_atom_site_fract_z
Os1 Os 0.5000 0.5000 0.5000
Rh1 Rh 0.0000 0.0000 0.0000
Ca1 Ca 0.2514 0.2514 0.2458
Ca2 Ca 0.7486 0.7486 0.7542

Verdict on stability: (P) comes out on top.

(P)
# CaOsRu2, PBEsol geometry, DFT SCAN
# Fermi-level density of states = 2.2 states/eV per cell
# Calculated density = 11.639 g cm⁻³
# Space group = No. 216
data_CaOsRu2
_chemical_formula_sum 'Ca1 Os1 Ru2'
_cell_length_a 4.4353
_cell_length_b 4.4353
_cell_length_c 4.4353
_cell_angle_alpha 60.00
_cell_angle_beta 60.00
_cell_angle_gamma 60.00
_symmetry_space_group_name_H-M 'P 1'
_symmetry_Int_Tables_number 1
loop_
_symmetry_equiv_pos_as_xyz
'x,y,z'
loop_
_atom_site_label
_atom_site_type_symbol
_atom_site_fract_x
_atom_site_fract_y
_atom_site_fract_z
Ca1 Ca 0.5000 0.5000 0.5000
Os1 Os 0.7500 0.7500 0.7500
Ru1 Ru 0.0000 0.0000 0.0000
Ru2 Ru 0.2500 0.2500 0.2500

(Q)
# CaOsRu2, PBEsol geometry, DFT SCAN
# Fermi-level density of states = 3.9 states/eV per cell
# Calculated density = 11.722 g cm⁻³
# Space group = No. 139
data_CaOsRu2
_chemical_formula_sum 'Ca1 Os1 Ru2'
_cell_length_a 4.4287
_cell_length_b 4.4230
_cell_length_c 4.4287
_cell_angle_alpha 59.96
_cell_angle_beta 90.00
_cell_angle_gamma 120.04
_symmetry_space_group_name_H-M 'P 1'
_symmetry_Int_Tables_number 1
loop_
_symmetry_equiv_pos_as_xyz
'x,y,z'
loop_
_atom_site_label
_atom_site_type_symbol
_atom_site_fract_x
_atom_site_fract_y
_atom_site_fract_z
Os1 Os 0.0000 0.0000 0.0000
Ru1 Ru 0.7500 0.5000 0.7500
Ru2 Ru 0.2500 0.5000 0.2500
Ca1 Ca 0.5000 0.0000 0.5000

Verdict on stability: (Q) comes out on top.

(P)
# SrCa2Os, PBEsol geometry, DFT SCAN
# Fermi-level density of states = 1.5 states/eV per cell
# Calculated density = 5.742 g cm⁻³
# Space group = No. 123
data_SrCa2Os
_chemical_formula_sum 'Sr1 Ca2 Os1'
_cell_length_a 4.6938
_cell_length_b 4.6965
_cell_length_c 4.6965
_cell_angle_alpha 90.00
_cell_angle_beta 90.00
_cell_angle_gamma 90.00
_symmetry_space_group_name_H-M 'P 1'
_symmetry_Int_Tables_number 1
loop_
_symmetry_equiv_pos_as_xyz
'x,y,z'
loop_
_atom_site_label
_atom_site_type_symbol
_atom_site_fract_x
_atom_site_fract_y
_atom_site_fract_z
Os1 Os 0.5000 0.5000 0.5000
Ca1 Ca 0.0000 0.5000 0.0000
Ca2 Ca 0.0000 0.0000 0.5000
Sr1 Sr 0.5000 0.0000 0.0000

(Q)
# SrCa2Os, PBEsol geometry, DFT SCAN
# Fermi-level density of states = 3.1 states/eV per cell
# Calculated density = 4.900 g cm⁻³
# Space group = No. 166
data_SrCa2Os
_chemical_formula_sum 'Sr1 Ca2 Os1'
_cell_length_a 3.5643
_cell_length_b 3.5643
_cell_length_c 11.2177
_cell_angle_alpha 80.86
_cell_angle_beta 80.86
_cell_angle_gamma 60.00
_symmetry_space_group_name_H-M 'P 1'
_symmetry_Int_Tables_number 1
loop_
_symmetry_equiv_pos_as_xyz
'x,y,z'
loop_
_atom_site_label
_atom_site_type_symbol
_atom_site_fract_x
_atom_site_fract_y
_atom_site_fract_z
Sr1 Sr 0.0000 0.0000 0.0000
Ca1 Ca 0.7738 0.7738 0.6785
Os1 Os 0.5000 0.5000 0.5000
Ca2 Ca 0.2262 0.2262 0.3215

Verdict on stability: (P) comes out on top.

(P)
# SrCa2Os, PBEsol geometry, DFT SCAN
# Fermi-level density of states = 3.0 states/eV per cell
# Calculated density = 4.876 g cm⁻³
# Space group = No. 71
data_SrCa2Os
_chemical_formula_sum 'Sr1 Ca2 Os1'
_cell_length_a 3.5267
_cell_length_b 5.5448
_cell_length_c 7.0478
_cell_angle_alpha 113.16
_cell_angle_beta 104.49
_cell_angle_gamma 90.00
_symmetry_space_group_name_H-M 'P 1'
_symmetry_Int_Tables_number 1
loop_
_symmetry_equiv_pos_as_xyz
'x,y,z'
loop_
_atom_site_label
_atom_site_type_symbol
_atom_site_fract_x
_atom_site_fract_y
_atom_site_fract_z
Os1 Os 0.0000 0.5000 0.0000
Sr1 Sr 0.5000 0.0000 0.0000
Ca1 Ca 0.3246 0.3246 0.6491
Ca2 Ca 0.6754 0.6754 0.3509

(Q)
# SrCa2Os, PBEsol geometry, DFT SCAN
# Fermi-level density of states = 4.7 states/eV per cell
# Calculated density = 5.732 g cm⁻³
# Space group = No. 12
data_SrCa2Os
_chemical_formula_sum 'Sr1 Ca2 Os1'
_cell_length_a 3.3338
_cell_length_b 5.9326
_cell_length_c 6.1858
_cell_angle_alpha 116.39
_cell_angle_beta 101.95
_cell_angle_gamma 97.47
_symmetry_space_group_name_H-M 'P 1'
_symmetry_Int_Tables_number 1
loop_
_symmetry_equiv_pos_as_xyz
'x,y,z'
loop_
_atom_site_label
_atom_site_type_symbol
_atom_site_fract_x
_atom_site_fract_y
_atom_site_fract_z
Os1 Os 0.5000 0.0000 0.0000
Ca1 Ca 0.0000 0.0000 0.5000
Ca2 Ca 0.5000 0.5000 0.5000
Sr1 Sr 0.0000 0.5000 0.0000

Verdict on stability: (P) comes out on top.

(P)
# CaTc2Os, PBEsol geometry, DFT SCAN
# Fermi-level density of states = 3.4 states/eV per cell
# Calculated density = 11.350 g cm⁻³
# Space group = No. 47
data_CaTc2Os
_chemical_formula_sum 'Ca1 Tc2 Os1'
_cell_length_a 3.0218
_cell_length_b 4.5286
_cell_length_c 4.5576
_cell_angle_alpha 90.00
_cell_angle_beta 90.00
_cell_angle_gamma 90.00
_symmetry_space_group_name_H-M 'P 1'
_symmetry_Int_Tables_number 1
loop_
_symmetry_equiv_pos_as_xyz
'x,y,z'
loop_
_atom_site_label
_atom_site_type_symbol
_atom_site_fract_x
_atom_site_fract_y
_atom_site_fract_z
Tc1 Tc 0.5000 0.5000 0.0000
Os1 Os 0.0000 0.5000 0.5000
Ca1 Ca 0.5000 0.0000 0.5000
Tc2 Tc 0.0000 0.0000 0.0000

(Q)
# CaTc2Os, PBEsol geometry, DFT SCAN
# Fermi-level density of states = 3.9 states/eV per cell
# Calculated density = 11.231 g cm⁻³
# Space group = No. 35
data_CaTc2Os
_chemical_formula_sum 'Ca1 Tc2 Os1'
_cell_length_a 2.7214
_cell_length_b 2.7214
_cell_length_c 9.3321
_cell_angle_alpha 90.00
_cell_angle_beta 90.00
_cell_angle_gamma 114.22
_symmetry_space_group_name_H-M 'P 1'
_symmetry_Int_Tables_number 1
loop_
_symmetry_equiv_pos_as_xyz
'x,y,z'
loop_
_atom_site_label
_atom_site_type_symbol
_atom_site_fract_x
_atom_site_fract_y
_atom_site_fract_z
Ca1 Ca 0.0000 0.0000 0.4983
Tc1 Tc 0.0000 0.0000 0.9977
Tc2 Tc 0.5000 0.5000 0.7721
Os1 Os 0.5000 0.5000 0.2320

Verdict on stability: (Q) comes out on top.

(P)
# CaTc2Os, PBEsol geometry, DFT SCAN
# Fermi-level density of states = 5.2 states/eV per cell
# Calculated density = 10.773 g cm⁻³
# Space group = No. 123
data_CaTc2Os
_chemical_formula_sum 'Ca1 Tc2 Os1'
_cell_length_a 2.7536
_cell_length_b 2.7536
_cell_length_c 8.6660
_cell_angle_alpha 90.00
_cell_angle_beta 90.00
_cell_angle_gamma 90.00
_symmetry_space_group_name_H-M 'P 1'
_symmetry_Int_Tables_number 1
loop_
_symmetry_equiv_pos_as_xyz
'x,y,z'
loop_
_atom_site_label
_atom_site_type_symbol
_atom_site_fract_x
_atom_site_fract_y
_atom_site_fract_z
Os1 Os 0.5000 0.5000 0.0000
Tc1 Tc 0.0000 0.0000 0.2102
Ca1 Ca 0.5000 0.5000 0.5000
Tc2 Tc 0.0000 0.0000 0.7898

(Q)
# CaTc2Os, PBEsol geometry, DFT SCAN
# Fermi-level density of states = 4.0 states/eV per cell
# Calculated density = 10.615 g cm⁻³
# Space group = No. 12
data_CaTc2Os
_chemical_formula_sum 'Ca1 Tc2 Os1'
_cell_length_a 2.8401
_cell_length_b 4.8809
_cell_length_c 5.2157
_cell_angle_alpha 105.90
_cell_angle_beta 105.80
_cell_angle_gamma 90.00
_symmetry_space_group_name_H-M 'P 1'
_symmetry_Int_Tables_number 1
loop_
_symmetry_equiv_pos_as_xyz
'x,y,z'
loop_
_atom_site_label
_atom_site_type_symbol
_atom_site_fract_x
_atom_site_fract_y
_atom_site_fract_z
Ca1 Ca 0.0000 0.5000 0.0000
Tc1 Tc 0.7806 0.8013 0.5613
Tc2 Tc 0.2194 0.1987 0.4387
Os1 Os 0.5000 0.0000 0.0000

Verdict on stability: (Q) comes out on top.

(P)
# CaY2Os, PBEsol geometry, DFT SCAN
# Fermi-level density of states = 2.3 states/eV per cell
# Calculated density = 6.192 g cm⁻³
# Space group = No. 123
data_CaY2Os
_chemical_formula_sum 'Ca1 Y2 Os1'
_cell_length_a 3.3922
_cell_length_b 3.3922
_cell_length_c 9.5105
_cell_angle_alpha 90.00
_cell_angle_beta 90.00
_cell_angle_gamma 90.00
_symmetry_space_group_name_H-M 'P 1'
_symmetry_Int_Tables_number 1
loop_
_symmetry_equiv_pos_as_xyz
'x,y,z'
loop_
_atom_site_label
_atom_site_type_symbol
_atom_site_fract_x
_atom_site_fract_y
_atom_site_fract_z
Os1 Os 0.5000 0.5000 0.0000
Ca1 Ca 0.5000 0.5000 0.5000
Y1 Y 0.0000 0.0000 0.1712
Y2 Y 0.0000 0.0000 0.8288

(Q)
# CaY2Os, PBEsol geometry, DFT SCAN
# Fermi-level density of states = 4.0 states/eV per cell
# Calculated density = 6.277 g cm⁻³
# Space group = No. 25
data_CaY2Os
_chemical_formula_sum 'Ca1 Y2 Os1'
_cell_length_a 3.6362
_cell_length_b 3.7989
_cell_length_c 7.8162
_cell_angle_alpha 90.00
_cell_angle_beta 90.00
_cell_angle_gamma 90.00
_symmetry_space_group_name_H-M 'P 1'
_symmetry_Int_Tables_number 1
loop_
_symmetry_equiv_pos_as_xyz
'x,y,z'
loop_
_atom_site_label
_atom_site_type_symbol
_atom_site_fract_x
_atom_site_fract_y
_atom_site_fract_z
Ca1 Ca 0.0000 0.0000 0.5491
Os1 Os 0.5000 0.5000 0.8152
Y1 Y 0.0000 0.0000 0.9399
Y2 Y 0.5000 0.5000 0.1958

Verdict on stability: (P) comes out on top.